1.
This record from OQMD describes a relaxed structure of LiSm. The functional is GGA-PBE.

Results
The calculated total energy is -3.1578 eV per atom.

Structure (CIF):
```
data_LiSm
_cell_length_a 3.746
_cell_length_b 3.746
_cell_length_c 3.746
_cell_angle_alpha 90.00
_cell_angle_beta 90.00
_cell_angle_gamma 90.00
_symmetry_space_group_name_H-M 'P m -3 m'
_symmetry_Int_Tables_number 221
_symmetry_space_group_name_Hall '-P 4 2 3'
loop_
_atom_site_label
_atom_site_type_symbol
_atom_site_fract_x
_atom_site_fract_y
_atom_site_fract_z
Li1 Li 0.000 0.000 0.000
Sm1 Sm 0.500 0.500 0.500
```

2.
This record from OQMD describes a relaxed structure of PaHgNO. The functional is GGA-PBE.

Results
The calculated total energy is -6.4662 eV per atom.

Structure (CIF):
```
data_PaHgNO
_cell_length_a 3.598
_cell_length_b 3.598
_cell_length_c 9.712
_cell_angle_alpha 90.00
_cell_angle_beta 90.00
_cell_angle_gamma 90.00
_symmetry_space_group_name_H-M 'P 4/n m m'
_symmetry_Int_Tables_number 129
loop_
_symmetry_equiv_pos_as_xyz
'x,y,z'
'-x,-y,-z'
'-y+1/2,x,z'
'y+1/2,-x,-z'
'-x+1/2,-y+1/2,z'
'x+1/2,y+1/2,-z'
'y,-x+1/2,z'
'-y,x+1/2,-z'
'x+1/2,-y,-z'
'-x+1/2,y,z'
'-y,-x,-z'
'y,x,z'
'-x,y+1/2,-z'
'x,-y+1/2,z'
'y+1/2,x+1/2,-z'
'-y+1/2,-x+1/2,z'
loop_
_atom_site_label
_atom_site_type_symbol
_atom_site_fract_x
_atom_site_fract_y
_atom_site_fract_z
Pa1 Pa 0.250 0.250 0.155
Hg1 Hg 0.250 0.750 0.500
N1 N 0.250 0.250 0.780
O1 O 0.250 0.750 0.000
```

3.
This record from OQMD describes a relaxed structure of Nd2Zn2O5. The functional is GGA-PBE.

Results
The calculated total energy is -6.3211 eV per atom.

Structure (CIF):
```
data_Nd2Zn2O5
_cell_length_a 3.964
_cell_length_b 3.964
_cell_length_c 7.229
_cell_angle_alpha 90.00
_cell_angle_beta 90.00
_cell_angle_gamma 90.00
_symmetry_space_group_name_H-M 'P 4/m m m'
_symmetry_Int_Tables_number 123
_symmetry_space_group_name_Hall '-P 4 2'
loop_
_atom_site_label
_atom_site_type_symbol
_atom_site_fract_x
_atom_site_fract_y
_atom_site_fract_z
Nd1 Nd 0.000 0.000 0.000
Nd2 Nd 0.000 0.000 0.500
Zn1 Zn 0.500 0.500 0.232
O1 O 0.000 0.500 0.209
O2 O 0.500 0.500 0.500
```

4.
This record from OQMD describes a relaxed structure of LiAcAg. The functional is GGA-PBE.

Results
The calculated total energy is -2.5646 eV per atom.

Structure (CIF):
```
data_LiAcAg
_cell_length_a 7.379
_cell_length_b 7.379
_cell_length_c 7.379
_cell_angle_alpha 90.00
_cell_angle_beta 90.00
_cell_angle_gamma 90.00
_symmetry_space_group_name_H-M 'F -4 3 m'
_symmetry_Int_Tables_number 216
_symmetry_space_group_name_Hall 'F -4 2 3'
loop_
_atom_site_label
_atom_site_type_symbol
_atom_site_fract_x
_atom_site_fract_y
_atom_site_fract_z
Li1 Li 0.000 0.000 0.000
Ac1 Ac 0.250 0.250 0.750
Ag1 Ag 0.000 0.000 0.500
```

5.
This record from OQMD describes a relaxed structure of Tm7Ni2Te2. The functional is GGA-PBE.

Results
The calculated total energy is -5.1093 eV per atom.

Structure (CIF):
```
data_Tm7Ni2Te2
_cell_length_a 3.815
_cell_length_b 15.407
_cell_length_c 9.458
_cell_angle_alpha 90.00
_cell_angle_beta 90.00
_cell_angle_gamma 90.00
_symmetry_space_group_name_H-M 'I m m 2'
_symmetry_Int_Tables_number 44
loop_
_symmetry_equiv_pos_as_xyz
'x,y,z'
'-x,-y,z'
'-x,y,z'
'x,-y,z'
'x+1/2,y+1/2,z+1/2'
'-x+1/2,-y+1/2,z+1/2'
'-x+1/2,y+1/2,z+1/2'
'x+1/2,-y+1/2,z+1/2'
loop_
_atom_site_label
_atom_site_type_symbol
_atom_site_fract_x
_atom_site_fract_y
_atom_site_fract_z
Tm1 Tm 0.000 0.000 0.000
Tm2 Tm 0.000 0.133 0.417
Tm3 Tm 0.000 0.315 0.621
Tm4 Tm 0.000 0.353 0.270
Ni1 Ni 0.000 0.238 0.928
Te1 Te 0.000 0.000 0.663
Te2 Te 0.000 0.500 0.765
```

6.
This record from OQMD describes a relaxed structure of LiThBe. The functional is GGA-PBE.

Results
The calculated total energy is -3.6482 eV per atom.

Structure (CIF):
```
data_LiThBe
_cell_length_a 6.275
_cell_length_b 6.275
_cell_length_c 6.275
_cell_angle_alpha 90.00
_cell_angle_beta 90.00
_cell_angle_gamma 90.00
_symmetry_space_group_name_H-M 'F -4 3 m'
_symmetry_Int_Tables_number 216
_symmetry_space_group_name_Hall 'F -4 2 3'
loop_
_atom_site_label
_atom_site_type_symbol
_atom_site_fract_x
_atom_site_fract_y
_atom_site_fract_z
Li1 Li 0.000 0.000 0.000
Th1 Th 0.250 0.250 0.250
Be1 Be 0.250 0.250 0.750
```

7.
This record from OQMD describes a relaxed structure of NaZn2H3S2O8. The functional is GGA-PBE.

Results
The calculated total energy is -5.1627 eV per atom.

Structure (CIF):
```
data_NaZn2H3S2O8
_cell_length_a 6.294
_cell_length_b 7.696
_cell_length_c 8.803
_cell_angle_alpha 114.78
_cell_angle_beta 92.58
_cell_angle_gamma 112.30
_symmetry_space_group_name_H-M 'P -1'
_symmetry_Int_Tables_number 2
loop_
_symmetry_equiv_pos_as_xyz
'x,y,z'
'-x,-y,-z'
loop_
_atom_site_label
_atom_site_type_symbol
_atom_site_fract_x
_atom_site_fract_y
_atom_site_fract_z
Na1 Na 0.157 0.272 0.087
Zn1 Zn 0.000 0.500 0.500
Zn2 Zn 0.490 0.980 0.804
Zn3 Zn 0.500 0.500 0.500
H1 H 0.214 0.709 0.268
H2 H 0.381 0.777 0.490
H3 H 0.474 0.715 0.271
S1 S 0.042 0.037 0.301
S2 S 0.282 0.543 0.856
O1 O 0.044 0.468 0.736
O2 O 0.135 0.284 0.367
O3 O 0.164 0.976 0.151
O4 O 0.213 0.062 0.800
O5 O 0.357 0.713 0.569
O6 O 0.388 0.806 0.303
O7 O 0.399 0.788 0.931
O8 O 0.441 0.473 0.738
```

8.
This record from OQMD describes a relaxed structure of AcHo3Se6. The functional is GGA-PBE.

Results
The calculated total energy is -5.8048 eV per atom.

Structure (CIF):
```
data_AcHo3Se6
_cell_length_a 11.667
_cell_length_b 4.197
_cell_length_c 11.967
_cell_angle_alpha 90.00
_cell_angle_beta 109.18
_cell_angle_gamma 90.00
_symmetry_space_group_name_H-M 'P 1 21/m 1'
_symmetry_Int_Tables_number 11
loop_
_symmetry_equiv_pos_as_xyz
'x,y,z'
'-x,-y,-z'
'-x,y+1/2,-z'
'x,-y+1/2,z'
loop_
_atom_site_label
_atom_site_type_symbol
_atom_site_fract_x
_atom_site_fract_y
_atom_site_fract_z
Ac1 Ac 0.053 0.250 0.198
Ho1 Ho 0.160 0.250 0.589
Ho2 Ho 0.322 0.750 0.001
Ho3 Ho 0.449 0.250 0.335
Se1 Se 0.084 0.750 0.412
Se2 Se 0.126 0.250 0.965
Se3 Se 0.202 0.750 0.749
Se4 Se 0.275 0.750 0.232
Se5 Se 0.390 0.250 0.553
Se6 Se 0.481 0.250 0.112
```

9.
This record from OQMD describes a relaxed structure of AsPtPbO. The functional is GGA-PBE.

Results
The calculated total energy is -5.1587 eV per atom.

Structure (CIF):
```
data_AsPtPbO
_cell_length_a 3.413
_cell_length_b 6.591
_cell_length_c 6.761
_cell_angle_alpha 90.00
_cell_angle_beta 90.00
_cell_angle_gamma 90.00
_symmetry_space_group_name_H-M 'P m c 21'
_symmetry_Int_Tables_number 26
loop_
_symmetry_equiv_pos_as_xyz
'x,y,z'
'-x,-y,z+1/2'
'-x,y,z'
'x,-y,z+1/2'
loop_
_atom_site_label
_atom_site_type_symbol
_atom_site_fract_x
_atom_site_fract_y
_atom_site_fract_z
As1 As 0.000 0.071 0.000
Pt1 Pt 0.500 0.149 0.248
Pb1 Pb 0.000 0.412 0.685
O1 O 0.500 0.408 0.439
```

10.
This record from OQMD describes a relaxed structure of Tb2AgS3. The functional is GGA-PBE.

Results
The calculated total energy is -5.5507 eV per atom.

Structure (CIF):
```
data_Tb2AgS3
_cell_length_a 8.600
_cell_length_b 3.807
_cell_length_c 15.598
_cell_angle_alpha 90.00
_cell_angle_beta 90.00
_cell_angle_gamma 90.00
_symmetry_space_group_name_H-M 'P n m a'
_symmetry_Int_Tables_number 62
loop_
_symmetry_equiv_pos_as_xyz
'x,y,z'
'-x,-y,-z'
'-x+1/2,-y,z+1/2'
'x+1/2,y,-z+1/2'
'x+1/2,-y+1/2,-z+1/2'
'-x+1/2,y+1/2,z+1/2'
'-x,y+1/2,-z'
'x,-y+1/2,z'
loop_
_atom_site_label
_atom_site_type_symbol
_atom_site_fract_x
_atom_site_fract_y
_atom_site_fract_z
Tb1 Tb 0.125 0.250 0.212
Tb2 Tb 0.170 0.250 0.944
Ag1 Ag 0.059 0.250 0.567
S1 S 0.122 0.250 0.766
S2 S 0.124 0.250 0.388
S3 S 0.148 0.750 0.076
```

11.
This record from OQMD describes a relaxed structure of BeReSnBi. The functional is GGA-PBE.

Results
The calculated total energy is -4.9377 eV per atom.

Structure (CIF):
```
data_BeReSnBi
_cell_length_a 6.786
_cell_length_b 6.786
_cell_length_c 6.786
_cell_angle_alpha 90.00
_cell_angle_beta 90.00
_cell_angle_gamma 90.00
_symmetry_space_group_name_H-M 'F -4 3 m'
_symmetry_Int_Tables_number 216
_symmetry_space_group_name_Hall 'F -4 2 3'
loop_
_atom_site_label
_atom_site_type_symbol
_atom_site_fract_x
_atom_site_fract_y
_atom_site_fract_z
Be1 Be 0.000 0.000 0.000
Re1 Re 0.250 0.250 0.250
Sn1 Sn 0.000 0.000 0.500
Bi1 Bi 0.250 0.250 0.750
```

12.
This record from OQMD describes a relaxed structure of TbY2O3. The functional is GGA-PBE.

Results
The calculated total energy is -8.1770 eV per atom.

Structure (CIF):
```
data_TbY2O3
_cell_length_a 3.4009
_cell_length_b 3.4009
_cell_length_c 8.3489
_cell_angle_alpha 90.00
_cell_angle_beta 90.00
_cell_angle_gamma 120.00
_symmetry_space_group_name_H-M 'P -3 m 1'
_symmetry_Int_Tables_number 164
_symmetry_space_group_name_Hall '-P 3 2"'
loop_
_atom_site_label
_atom_site_type_symbol
_atom_site_fract_x
_atom_site_fract_y
_atom_site_fract_z
Tb1 Tb 0.0000 0.0000 0.0000
Y1 Y 0.3333 0.6667 0.6669
O1 O 0.0000 0.0000 0.5000
O2 O 0.3333 0.6667 0.1670
```